Record 1
# P2IrSe

An optimized crystal structure of P2IrSe (PBE, the Alexandria database).

E_form (uncorrected)	0.378	eV/atom
space-group type	Pmmm

a = 3.312 Å, b = 3.328 Å, c = 5.877 Å
α = 90.00°, β = 90.00°, γ = 90.00°
Sites, in units of the cell vectors:
P: 0.000 0.000 0.196
P: 0.000 0.000 0.804
Ir: 0.500 0.500 0.000
Se: 0.500 0.500 0.500

***

Record 2
# Co2PtW

An optimized crystal structure of Co2PtW (PBE, the Alexandria database).

E_form	-0.0300	eV/atom
space-group type	P4mm

a = 2.711 Å, b = 2.711 Å, c = 7.290 Å
α = 90.00°, β = 90.00°, γ = 90.00°
Sites, in units of the cell vectors:
Co: 0.000 0.000 0.000
Co: 0.500 0.500 0.208
Pt: 0.000 0.000 0.470
W: 0.500 0.500 0.751

***

Record 3
# CdBiF

An optimized crystal structure of CdBiF (PBE, the Alexandria database).

E_form (uncorrected)	-0.948	eV/atom
space-group type	P3m1

a = 3.471 Å, b = 3.471 Å, c = 6.737 Å
α = 90.00°, β = 90.00°, γ = 120.00°
Sites, in units of the cell vectors:
Cd: 0.000 0.000 0.000
Bi: 0.333 0.667 0.633
F: 0.667 0.333 0.184

***

Record 4
# PrNd2Ta

An optimized crystal structure of PrNd2Ta (PBE, the Alexandria database).

E_form	0.6864	eV/atom
space-group type	R-3m

a = 3.332 Å, b = 3.332 Å, c = 36.881 Å
α = 90.00°, β = 90.00°, γ = 120.00°
Sites, in units of the cell vectors:
Pr: 0.000 0.000 0.000
Pr: 0.333 0.667 0.667
Pr: 0.667 0.333 0.333
Nd: 0.000 0.000 0.420
Nd: 0.000 0.000 0.580
Nd: 0.333 0.667 0.087
Nd: 0.333 0.667 0.246
Nd: 0.667 0.333 0.754
Nd: 0.667 0.333 0.913
Ta: 0.000 0.000 0.500
Ta: 0.333 0.667 0.167
Ta: 0.667 0.333 0.833

***

Number 1: DOS at the Fermi energy 0.43 states/eV per atom. Number 2: DOS at the Fermi energy 0.86 states/eV per atom. Number 3: DOS at the Fermi energy 0.38 states/eV per atom. Number 4: DOS at the Fermi energy 1.71 states/eV per atom.